Material: Mg4AgPt3
Method: DFT, PBE
State: optimized geometry

Results
The formation energy comes out at -0.71 eV per atom. The value obtained for the calculated volume is 16.47 Å³ per atom. The value obtained for the final energy is -0.152 Ha/atom. The space group is No. 166.

a = 7.840 Å, b = 7.840 Å, c = 7.840 Å
α = 33.65°, β = 33.65°, γ = 33.65°
Positions (direct):
Mg1 0.122 0.122 0.122
Mg2 0.372 0.372 0.372
Mg3 0.628 0.628 0.628
Mg4 0.878 0.878 0.878
Ag1 0.500 0.500 0.500
Pt1 0.000 0.000 0.000
Pt2 0.249 0.249 0.249
Pt3 0.751 0.751 0.751

Material: Mg4AgPt
Method: DFT, PBE
State: optimized geometry

Results
The formation energy comes out at -0.35 eV per atom. The value obtained for the calculated volume is 21.92 Å³ per atom. The value obtained for the final energy is -0.106 Ha/atom. The space group is No. 123. The calculation puts the energy relative to the lowest polymorph listed for this composition at 58 meV per atom.

a = 4.524 Å, b = 4.524 Å, c = 6.425 Å
α = 90.00°, β = 90.00°, γ = 90.00°
Positions (direct):
Mg1 0.000 0.500 0.236
Mg2 0.000 0.500 0.764
Mg3 0.500 0.000 0.236
Mg4 0.500 0.000 0.764
Ag1 0.000 0.000 0.500
Pt1 0.500 0.500 0.000

Material: MgAgPt
Method: DFT, PBE
State: optimized geometry

Results
The formation energy comes out at -0.38 eV per atom. The value obtained for the calculated volume is 16.81 Å³ per atom. The value obtained for the final energy is -0.142 Ha/atom. The space group is No. 156. The calculation puts the energy relative to the lowest polymorph listed for this composition at 103 meV per atom.

a = 4.487 Å, b = 4.487 Å, c = 2.893 Å
α = 90.00°, β = 90.00°, γ = 120.00°
Positions (direct):
Mg1 0.000 0.000 0.000
Ag1 0.333 0.667 0.703
Pt1 0.667 0.333 0.307

Material: MgAg3Pt
Method: DFT, PBE
State: optimized geometry

Results
The formation energy comes out at 0.58 eV per atom. The value obtained for the calculated volume is 26.39 Å³ per atom. The value obtained for the final energy is -0.098 Ha/atom. The space group is No. 221. The calculation puts the energy relative to the lowest polymorph listed for this composition at 0 meV per atom.

a = 5.091 Å, b = 5.091 Å, c = 5.091 Å
α = 90.00°, β = 90.00°, γ = 90.00°
Positions (direct):
Mg1 0.000 0.000 0.000
Ag1 0.000 0.500 0.500
Ag2 0.500 0.000 0.500
Ag3 0.500 0.500 0.000
Pt1 0.500 0.500 0.500

Material: Mg3Ag2Pt
Method: DFT, PBE
State: optimized geometry

Results
The formation energy comes out at -0.45 eV per atom. The value obtained for the calculated volume is 17.64 Å³ per atom. The value obtained for the final energy is -0.118 Ha/atom. The space group is No. 123. The calculation puts the energy relative to the lowest polymorph listed for this composition at 8 meV per atom.

a = 3.256 Å, b = 3.256 Å, c = 9.987 Å
α = 90.00°, β = 90.00°, γ = 90.00°
Positions (direct):
Mg1 0.000 0.000 0.000
Mg2 0.000 0.000 0.350
Mg3 0.000 0.000 0.650
Ag1 0.500 0.500 0.174
Ag2 0.500 0.500 0.826
Pt1 0.500 0.500 0.500

Material: MgAgPt
Method: DFT, PBE
State: optimized geometry

Results
The formation energy comes out at -0.48 eV per atom. The value obtained for the calculated volume is 16.75 Å³ per atom. The value obtained for the final energy is -0.146 Ha/atom. The space group is No. 12. The calculation puts the energy relative to the lowest polymorph listed for this composition at 0 meV per atom.

a = 14.517 Å, b = 2.990 Å, c = 4.722 Å
α = 90.00°, β = 101.33°, γ = 90.00°
Positions (direct):
Mg1 0.079 0.000 0.295
Mg2 0.421 0.500 0.705
Mg3 0.579 0.500 0.295
Mg4 0.921 0.000 0.705
Ag1 0.249 0.000 0.750
Ag2 0.251 0.500 0.250
Ag3 0.749 0.500 0.750
Ag4 0.751 0.000 0.250
Pt1 0.080 0.500 0.798
Pt2 0.420 0.000 0.202
Pt3 0.580 0.000 0.798
Pt4 0.920 0.500 0.202

Material: Mg6Ag5Pt
Method: DFT, PBE
State: optimized geometry

Results
The formation energy comes out at -0.35 eV per atom. The value obtained for the calculated volume is 18.02 Å³ per atom. The value obtained for the final energy is -0.104 Ha/atom. The space group is No. 10.

a = 4.620 Å, b = 6.759 Å, c = 7.283 Å
α = 90.00°, β = 108.03°, γ = 90.00°
Positions (direct):
Mg1 0.000 0.236 0.000
Mg2 0.000 0.764 0.000
Mg3 0.338 0.244 0.677
Mg4 0.338 0.756 0.677
Mg5 0.662 0.244 0.323
Mg6 0.662 0.756 0.323
Ag1 0.169 0.500 0.337
Ag2 0.171 0.000 0.341
Ag3 0.500 0.500 0.000
Ag4 0.829 0.000 0.659
Ag5 0.831 0.500 0.663
Pt1 0.500 0.000 0.000

Material: Mg2AgPt
Method: DFT, PBE
State: optimized geometry

Results
The formation energy comes out at -0.56 eV per atom. The value obtained for the calculated volume is 17.21 Å³ per atom. The value obtained for the final energy is -0.132 Ha/atom. The space group is No. 10. The calculation puts the energy relative to the lowest polymorph listed for this composition at 20 meV per atom.

a = 3.089 Å, b = 3.367 Å, c = 6.620 Å
α = 90.00°, β = 90.22°, γ = 90.00°
Positions (direct):
Mg1 0.000 0.000 0.231
Mg2 0.000 0.000 0.769
Ag1 0.500 0.500 0.500
Pt1 0.500 0.500 0.000

Material: Mg2AgPt
Method: DFT, PBE
State: optimized geometry

Results
The formation energy comes out at -0.36 eV per atom. The value obtained for the calculated volume is 17.50 Å³ per atom. The value obtained for the final energy is -0.124 Ha/atom. The space group is No. 10. The calculation puts the energy relative to the lowest polymorph listed for this composition at 220 meV per atom.

a = 4.764 Å, b = 3.001 Å, c = 5.319 Å
α = 90.00°, β = 113.00°, γ = 90.00°
Positions (direct):
Mg1 0.000 0.000 0.000
Mg2 0.000 0.500 0.500
Ag1 0.500 0.000 0.500
Pt1 0.500 0.500 0.000

Material: MgAg2Pt
Method: DFT, PBE
State: optimized geometry

Results
The formation energy comes out at -0.31 eV per atom. The value obtained for the calculated volume is 17.07 Å³ per atom. The value obtained for the final energy is -0.134 Ha/atom. The space group is No. 139.

a = 4.021 Å, b = 4.021 Å, c = 8.445 Å
α = 90.00°, β = 90.00°, γ = 90.00°
Positions (direct):
Mg1 0.000 0.000 0.000
Mg2 0.500 0.500 0.500
Ag1 0.000 0.500 0.250
Ag2 0.000 0.500 0.750
Ag3 0.500 0.000 0.250
Ag4 0.500 0.000 0.750
Pt1 0.000 0.000 0.500
Pt2 0.500 0.500 0.000

Material: Mg3AgPt
Method: DFT, PBE
State: optimized geometry

Results
The formation energy comes out at -0.48 eV per atom. The value obtained for the calculated volume is 18.10 Å³ per atom. The value obtained for the final energy is -0.118 Ha/atom. The space group is No. 63. The calculation puts the energy relative to the lowest polymorph listed for this composition at 0 meV per atom.

a = 8.766 Å, b = 8.766 Å, c = 4.627 Å
α = 90.00°, β = 90.00°, γ = 149.41°
Positions (direct):
Mg1 0.063 0.937 0.750
Mg2 0.250 0.750 0.750
Mg3 0.435 0.565 0.750
Mg4 0.565 0.435 0.250
Mg5 0.750 0.250 0.250
Mg6 0.937 0.063 0.250
Ag1 0.344 0.656 0.250
Ag2 0.656 0.344 0.750
Pt1 0.152 0.848 0.250
Pt2 0.848 0.152 0.750

Material: Mg4AgPt
Method: DFT, PBE
State: optimized geometry

Results
The formation energy comes out at 0.02 eV per atom. The value obtained for the calculated volume is 19.03 Å³ per atom. The value obtained for the final energy is -0.093 Ha/atom. The space group is No. 216. The calculation puts the energy relative to the lowest polymorph listed for this composition at 432 meV per atom.

a = 5.446 Å, b = 5.446 Å, c = 5.446 Å
α = 60.00°, β = 60.00°, γ = 60.00°
Positions (direct):
Mg1 0.125 0.125 0.125
Mg2 0.125 0.125 0.626
Mg3 0.125 0.626 0.125
Mg4 0.626 0.125 0.125
Ag1 0.500 0.500 0.500
Pt1 0.750 0.750 0.750

Material: Mg3AgPt
Method: DFT, PBE
State: optimized geometry

Results
The formation energy comes out at -0.15 eV per atom. The value obtained for the calculated volume is 24.63 Å³ per atom. The value obtained for the final energy is -0.106 Ha/atom. The space group is No. 221. The calculation puts the energy relative to the lowest polymorph listed for this composition at 323 meV per atom.

a = 4.975 Å, b = 4.975 Å, c = 4.975 Å
α = 90.00°, β = 90.00°, γ = 90.00°
Positions (direct):
Mg1 0.000 0.000 0.500
Mg2 0.000 0.500 0.000
Mg3 0.500 0.000 0.000
Ag1 0.500 0.500 0.500
Pt1 0.000 0.000 0.000